{"formula": "RbBiP2Cl", "functional": "PBE", "state": "relaxed", "dft_energy_ev_per_atom": -3.397, "e_above_lowest_polymorph_mev_per_atom": 0, "m_tot_mub_per_fu": 1.24, "lattice": [[-3.047, 4.154, -1.445], [0.993, -1.062, -5.149], [-4.741, -3.542, -0.184]], "species": ["P", "P", "Cl", "Bi", "Rb"], "fractional_positions": [[0.500, 0.000, 0.000], [0.000, 0.500, 0.000], [0.000, 0.000, 0.500], [0.000, 0.000, 0.000], [0.500, 0.500, 0.500]]}

{"formula": "RbBiP2Cl", "functional": "PBE", "state": "relaxed", "dft_energy_ev_per_atom": -2.285, "e_above_lowest_polymorph_mev_per_atom": 1112, "m_tot_mub_per_fu": 0.52, "lattice": [[-3.531, 4.121, -1.068], [-3.863, -3.685, -1.444], [-1.772, -0.175, 5.184]], "species": ["Cl", "Rb", "Bi", "P", "P"], "fractional_positions": [[0.000, 0.000, 0.500], [0.000, 0.000, 0.000], [0.500, 0.500, 0.500], [0.500, 0.000, 0.000], [0.000, 0.500, 0.000]]}

{"formula": "ReBiP2Cl", "functional": "PBE", "state": "relaxed", "dft_energy_ev_per_atom": -5.357, "e_above_lowest_polymorph_mev_per_atom": 0, "m_tot_mub_per_fu": 0.00, "lattice": [[4.612, 0.000, 0.000], [0.000, 4.612, 0.000], [0.000, 0.000, 5.141]], "species": ["P", "P", "Bi", "Cl", "Re"], "fractional_positions": [[0.500, 0.000, 0.000], [0.000, 0.500, 0.000], [0.500, 0.500, 0.500], [0.000, 0.000, 0.500], [0.000, 0.000, 0.000]]}